1.
This record from Alexandria via LeMat-Bulk describes NpCuAsS after structural relaxation. The functional is GGA-PBE.

The structure belongs to space group P4/nmm (No. 129, origin choice 2); the cell edges are 4.1221, 4.1221 and 8.6391 Å and the angles 90.00°, 90.00° and 90.00°. The distinct sites, in fractional coordinates, are Np at (0.2500, 0.2500, 0.2021), Cu at (0.2500, 0.7500, 0.5000), As at (0.2500, 0.2500, 0.6678) and S at (0.2500, 0.7500, 0.0000).

The total magnetization is 0.778 μB/atom. As for the density of states at the Fermi level: 10.32 states/eV/f.u. As for the calculated density: 9.220 g/cm³. The value obtained for the electronic total energy is -56.82 eV per cell. The formation energy without anion corrections is -0.649 eV/atom.

2.
This record from Alexandria via LeMat-Bulk describes AlRe3 after structural relaxation. The functional is GGA-PBE.

The structure belongs to space group Pnma (No. 62); the cell edges are 5.2092, 8.6684 and 5.2985 Å and the angles 90.00°, 90.00° and 90.00°. The distinct sites, in fractional coordinates, are Al at (0.0656, 0.2500, 0.1793), Re at (0.0102, 0.7500, 0.3167) and Re at (0.2448, 0.5062, 0.9291).

The total magnetization is 0.000 μB/atom. As for the density of states at the Fermi level: 2.63 states/eV/f.u. As for the calculated density: 16.257 g/cm³. The value obtained for the energy of formation from the pure elements is 1.98 kcal/mol of atoms. The value obtained for the electronic total energy is -162.98 eV per cell.

3.
This record from Alexandria via LeMat-Bulk describes CuHg3Pd6 after structural relaxation. The functional is GGA-PBE.

The structure belongs to space group P2_1/m (No. 11); the cell edges are 7.7831, 4.6107 and 9.8258 Å and the angles 90.00°, 107.59° and 90.00°. The distinct sites, in fractional coordinates, are Cu at (0.0448, 0.2500, 0.4122), Hg at (0.2266, 0.2500, 0.0061), Hg at (0.3540, 0.7500, 0.7827), Hg at (0.4546, 0.2500, 0.6080), Pd at (0.0526, 0.7500, 0.8702), Pd at (0.1330, 0.2500, 0.6934), Pd at (0.1523, 0.7500, 0.1856), Pd at (0.2313, 0.7500, 0.4837), Pd at (0.3262, 0.2500, 0.3109) and Pd at (0.4553, 0.7500, 0.0854).

The total magnetization is 0.000 μB/atom. As for the density of states at the Fermi level: 3.50 states/eV/f.u. As for the calculated density: 12.883 g/cm³. The value obtained for the energy of formation from the pure elements is -2.92 kcal/mol of atoms. The value obtained for the electronic total energy is -74.85 eV per cell. Its energy above the most stable polymorph in this dataset is 0.000 eV per formula unit.

4.
This record from Alexandria via LeMat-Bulk describes ZrCuSi after structural relaxation. The functional is GGA-PBE.

The structure belongs to space group Imm2 (No. 44); the cell edges are 3.0220, 3.0539 and 10.2853 Å and the angles 90.00°, 90.00° and 90.00°. The distinct sites, in fractional coordinates, are Zr at (0.0000, 0.0000, 0.0000), Cu at (0.0000, 0.0000, 0.6925) and Si at (0.0000, 0.0000, 0.3107).

The total magnetization is 0.000 μB/atom. As for the density of states at the Fermi level: 2.16 states/eV/f.u. As for the calculated density: 6.398 g/cm³. The value obtained for the electronic total energy is -37.56 eV per cell. The formation energy without anion corrections is -0.238 eV/atom.

5.
This record from Alexandria via LeMat-Bulk describes CaBiAu after structural relaxation. The functional is GGA-PBE.

The structure belongs to space group P4_2/mmc (No. 131); the cell edges are 4.8511, 4.8511 and 7.3881 Å and the angles 90.00°, 90.00° and 90.00°. The distinct sites, in fractional coordinates, are Ca at (0.0000, 0.5000, 0.0000), Bi at (0.0000, 0.5000, 0.5000) and Au at (0.0000, 0.0000, 0.2500).

The total magnetization is 0.000 μB/atom. As for the density of states at the Fermi level: 0.94 states/eV/f.u. As for the calculated density: 8.520 g/cm³. The value obtained for the energy of formation from the pure elements is -13.93 kcal/mol of atoms. The value obtained for the electronic total energy is -21.94 eV per cell.

6.
This record from Alexandria via LeMat-Bulk describes Ac2TePd after structural relaxation. The functional is GGA-PBE.

The structure belongs to space group P4/mmm (No. 123); the cell edges are 3.9259, 3.9259 and 8.0559 Å and the angles 90.00°, 90.00° and 90.00°. The distinct sites, in fractional coordinates, are Ac at (0.0000, 0.0000, 0.2290), Te at (0.5000, 0.5000, 0.5000) and Pd at (0.5000, 0.5000, 0.0000).

The total magnetization is 0.000 μB/atom. As for the density of states at the Fermi level: 3.40 states/eV/f.u. As for the calculated density: 9.202 g/cm³. The value obtained for the electronic total energy is -20.42 eV per cell. The formation energy without anion corrections is -0.967 eV/atom. Its energy above the most stable polymorph in this dataset is 0.663 eV per formula unit.